Entry 1:
Below is a geometry-optimized CaTaPb structure, with properties calculated at the GGA-PBE level.

Values from the calculation:
The formation enthalpy at 0 K comes out at 1.59 eV/f.u.

Geometry as CIF:
```
data_CaTaPb
_space_group_name_H-M_alt 'P -6 m 2'
_space_group_IT_number 187
_space_group_name_Hall 'P -6 2'
_cell_length_a 5.1551
_cell_length_b 5.1551
_cell_length_c 3.2673
_cell_angle_alpha 90.00
_cell_angle_beta 90.00
_cell_angle_gamma 120.00
loop_
_atom_site_label
_atom_site_type_symbol
_atom_site_fract_x
_atom_site_fract_y
_atom_site_fract_z
_atom_site_occupancy
Ca1 Ca 0.0000 0.0000 0.0000 1
Ta1 Ta 0.3333 0.6667 0.5000 1
Pb1 Pb 0.6667 0.3333 0.5000 1
```

=====

Entry 2:
Below is a geometry-optimized GeTe2N2 structure, with properties calculated at the GGA-PBE level.

Values from the calculation:
The energy relative to the elements, uncorrected comes out at 1.6718 eV/atom.

Geometry as CIF:
```
data_GeTe2N2
_space_group_name_H-M_alt 'P 4/m m m'
_space_group_IT_number 123
_space_group_name_Hall '-P 4 2'
_cell_length_a 5.7928
_cell_length_b 5.7928
_cell_length_c 3.4334
_cell_angle_alpha 90.00
_cell_angle_beta 90.00
_cell_angle_gamma 90.00
loop_
_atom_site_label
_atom_site_type_symbol
_atom_site_fract_x
_atom_site_fract_y
_atom_site_fract_z
_atom_site_occupancy
Ge1 Ge 0.0000 0.0000 0.0000 1
Te1 Te 0.0000 0.5000 0.0000 1
N1 N 0.0000 0.0000 0.5000 1
N2 N 0.5000 0.5000 0.5000 1
```

=====

Entry 3:
Below is a geometry-optimized ThAl6Pd4 structure, with properties calculated at the GGA-PBE level.

Values from the calculation:
The formation enthalpy at 0 K comes out at -8.63 eV/f.u.

Geometry as CIF:
```
data_ThAl6Pd4
_space_group_name_H-M_alt 'P -6 m 2'
_space_group_IT_number 187
_space_group_name_Hall 'P -6 2'
_cell_length_a 7.2985
_cell_length_b 7.2985
_cell_length_c 4.0910
_cell_angle_alpha 90.00
_cell_angle_beta 90.00
_cell_angle_gamma 120.00
loop_
_atom_site_label
_atom_site_type_symbol
_atom_site_fract_x
_atom_site_fract_y
_atom_site_fract_z
_atom_site_occupancy
Th1 Th 0.0000 0.0000 0.0000 1
Al1 Al 0.2017 0.4034 0.5000 1
Al2 Al 0.5339 0.0677 0.0000 1
Pd1 Pd 0.3333 0.6667 0.0000 1
Pd2 Pd 0.4019 0.2010 0.5000 1
```

=====

Entry 4:
Below is a geometry-optimized Y2Ag2Sn structure, with properties calculated at the GGA-PBE level.

Values from the calculation:
The formation enthalpy at 0 K comes out at -2.21 eV/f.u.

Geometry as CIF:
```
data_Y2Ag2Sn
_space_group_name_H-M_alt 'P 4/m b m'
_space_group_IT_number 127
_space_group_name_Hall '-P 4 2ab'
_cell_length_a 7.7292
_cell_length_b 7.7292
_cell_length_c 4.0559
_cell_angle_alpha 90.00
_cell_angle_beta 90.00
_cell_angle_gamma 90.00
loop_
_atom_site_label
_atom_site_type_symbol
_atom_site_fract_x
_atom_site_fract_y
_atom_site_fract_z
_atom_site_occupancy
Y1 Y 0.1724 0.3276 0.0000 1
Ag1 Ag 0.1268 0.6268 0.5000 1
Sn1 Sn 0.0000 0.0000 0.5000 1
```

=====

Entry 5:
Below is a geometry-optimized Ir2RhICl structure, with properties calculated at the GGA-PBE level.

Values from the calculation:
The energy relative to the elements, uncorrected comes out at 1.6678 eV/atom.

Geometry as CIF:
```
data_Ir2RhICl
_space_group_name_H-M_alt 'P 4/m m m'
_space_group_IT_number 123
_space_group_name_Hall '-P 4 2'
_cell_length_a 4.8102
_cell_length_b 4.8102
_cell_length_c 5.3004
_cell_angle_alpha 90.00
_cell_angle_beta 90.00
_cell_angle_gamma 90.00
loop_
_atom_site_label
_atom_site_type_symbol
_atom_site_fract_x
_atom_site_fract_y
_atom_site_fract_z
_atom_site_occupancy
Ir1 Ir 0.0000 0.5000 0.0000 1
Rh1 Rh 0.0000 0.0000 0.0000 1
I1 I 0.0000 0.0000 0.5000 1
Cl1 Cl 0.5000 0.5000 0.5000 1
```

=====

Entry 6:
Below is a geometry-optimized PmDyHgPd structure, with properties calculated at the GGA-PBE level.

Values from the calculation:
The formation enthalpy at 0 K comes out at -2.44 eV/f.u.

Geometry as CIF:
```
data_PmDyHgPd
_space_group_name_H-M_alt 'F -4 3 m'
_space_group_IT_number 216
_space_group_name_Hall 'F -4 2 3'
_cell_length_a 7.3247
_cell_length_b 7.3247
_cell_length_c 7.3247
_cell_angle_alpha 90.00
_cell_angle_beta 90.00
_cell_angle_gamma 90.00
loop_
_atom_site_label
_atom_site_type_symbol
_atom_site_fract_x
_atom_site_fract_y
_atom_site_fract_z
_atom_site_occupancy
Pm1 Pm 0.0000 0.0000 0.0000 1
Dy1 Dy 0.0000 0.0000 0.5000 1
Hg1 Hg 0.2500 0.2500 0.7500 1
Pd1 Pd 0.2500 0.2500 0.2500 1
```